Density functional theory data (GGA-PBE) for GeP2IO after structural relaxation.

```
data_GeP2IO
_cell_length_a 5.189
_cell_length_b 5.189
_cell_length_c 3.930
_cell_angle_alpha 90.00
_cell_angle_beta 90.00
_cell_angle_gamma 90.00
_space_group_name_H-M_alt 'P 1'
_space_group_IT_number 1
loop_
_space_group_symop_operation_xyz
'x,y,z'
loop_
_atom_site_label
_atom_site_type_symbol
_atom_site_fract_x
_atom_site_fract_y
_atom_site_fract_z
P1 P 0.500 0.000 0.000
P2 P 0.000 0.500 0.000
I1 I 0.000 0.000 0.000
O1 O 0.000 0.000 0.500
Ge1 Ge 0.500 0.500 0.500
```

Output
* energy relative to the elements, uncorrected: 4.64 eV per formula unit
* polymorph energy (0 for the lowest one): 0.5561 eV/atom
* space group: P4/mmm, No. 123



Density functional theory data (GGA-PBE) for GePIO2 after structural relaxation.

```
data_GePIO2
_cell_length_a 4.025
_cell_length_b 4.025
_cell_length_c 5.502
_cell_angle_alpha 90.00
_cell_angle_beta 90.00
_cell_angle_gamma 90.00
_space_group_name_H-M_alt 'P 1'
_space_group_IT_number 1
loop_
_space_group_symop_operation_xyz
'x,y,z'
loop_
_atom_site_label
_atom_site_type_symbol
_atom_site_fract_x
_atom_site_fract_y
_atom_site_fract_z
O1 O 0.500 0.000 0.000
O2 O 0.000 0.500 0.000
P1 P 0.000 0.000 0.500
I1 I 0.000 0.000 0.000
Ge1 Ge 0.500 0.500 0.500
```

Output
* energy relative to the elements, uncorrected: 1.69 eV per formula unit
* polymorph energy (0 for the lowest one): 0.5253 eV/atom
* space group: P4/mmm, No. 123



Density functional theory data (GGA-PBE) for GePIO2 after structural relaxation.

```
data_GePIO2
_cell_length_a 3.731
_cell_length_b 3.731
_cell_length_c 7.854
_cell_angle_alpha 90.00
_cell_angle_beta 90.00
_cell_angle_gamma 90.00
_space_group_name_H-M_alt 'P 1'
_space_group_IT_number 1
loop_
_space_group_symop_operation_xyz
'x,y,z'
loop_
_atom_site_label
_atom_site_type_symbol
_atom_site_fract_x
_atom_site_fract_y
_atom_site_fract_z
I1 I 0.000 0.000 0.500
Ge1 Ge 0.000 0.000 0.000
O1 O 0.000 0.500 0.000
O2 O 0.500 0.000 0.000
P1 P 0.500 0.500 0.500
```

Output
* energy relative to the elements, uncorrected: -0.23 eV per formula unit
* polymorph energy (0 for the lowest one): 0.1415 eV/atom
* space group: P4/mmm, No. 123



Density functional theory data (GGA-PBE) for GePIO2 after structural relaxation.

```
data_GePIO2
_cell_length_a 3.776
_cell_length_b 3.776
_cell_length_c 5.683
_cell_angle_alpha 90.00
_cell_angle_beta 90.00
_cell_angle_gamma 90.00
_space_group_name_H-M_alt 'P 1'
_space_group_IT_number 1
loop_
_space_group_symop_operation_xyz
'x,y,z'
loop_
_atom_site_label
_atom_site_type_symbol
_atom_site_fract_x
_atom_site_fract_y
_atom_site_fract_z
I1 I 0.500 0.500 0.500
Ge1 Ge 0.000 0.000 0.000
P1 P 0.000 0.000 0.500
O1 O 0.000 0.500 0.000
O2 O 0.500 0.000 0.000
```

Output
* energy relative to the elements, uncorrected: -0.94 eV per formula unit
* polymorph energy (0 for the lowest one): 0.0000 eV/atom
* space group: P4/mmm, No. 123



Density functional theory data (GGA-PBE) for GeP2IO after structural relaxation.

```
data_GeP2IO
_cell_length_a 4.962
_cell_length_b 4.962
_cell_length_c 3.730
_cell_angle_alpha 90.00
_cell_angle_beta 90.00
_cell_angle_gamma 90.00
_space_group_name_H-M_alt 'P 1'
_space_group_IT_number 1
loop_
_space_group_symop_operation_xyz
'x,y,z'
loop_
_atom_site_label
_atom_site_type_symbol
_atom_site_fract_x
_atom_site_fract_y
_atom_site_fract_z
O1 O 0.000 0.000 0.500
Ge1 Ge 0.000 0.000 0.000
I1 I 0.500 0.500 0.500
P1 P 0.000 0.500 0.000
P2 P 0.500 0.000 0.000
```

Output
* energy relative to the elements, uncorrected: 1.86 eV per formula unit
* polymorph energy (0 for the lowest one): 0.0000 eV/atom
* space group: P4/mmm, No. 123



Density functional theory data (GGA-PBE) for GePIO2 after structural relaxation.

```
data_GePIO2
_cell_length_a 3.928
_cell_length_b 3.928
_cell_length_c 5.315
_cell_angle_alpha 90.00
_cell_angle_beta 90.00
_cell_angle_gamma 90.00
_space_group_name_H-M_alt 'P 1'
_space_group_IT_number 1
loop_
_space_group_symop_operation_xyz
'x,y,z'
loop_
_atom_site_label
_atom_site_type_symbol
_atom_site_fract_x
_atom_site_fract_y
_atom_site_fract_z
P1 P 0.000 0.000 0.000
O1 O 0.500 0.000 0.000
O2 O 0.000 0.500 0.000
Ge1 Ge 0.500 0.500 0.500
I1 I 0.000 0.000 0.500
```

Output
* energy relative to the elements, uncorrected: 0.37 eV per formula unit
* polymorph energy (0 for the lowest one): 0.2612 eV/atom
* space group: P4/mmm, No. 123



Density functional theory data (GGA-PBE) for GePbI2O after structural relaxation.

```
data_GePbI2O
_cell_length_a 6.111
_cell_length_b 6.111
_cell_length_c 3.827
_cell_angle_alpha 90.00
_cell_angle_beta 90.00
_cell_angle_gamma 90.00
_space_group_name_H-M_alt 'P 1'
_space_group_IT_number 1
loop_
_space_group_symop_operation_xyz
'x,y,z'
loop_
_atom_site_label
_atom_site_type_symbol
_atom_site_fract_x
_atom_site_fract_y
_atom_site_fract_z
Ge1 Ge 0.000 0.000 0.000
O1 O 0.000 0.000 0.500
I1 I 0.000 0.500 0.000
I2 I 0.500 0.000 0.000
Pb1 Pb 0.500 0.500 0.500
```

Output
* energy relative to the elements, uncorrected: -1.81 eV per formula unit
* polymorph energy (0 for the lowest one): 0.0000 eV/atom
* space group: P4/mmm, No. 123



Density functional theory data (GGA-PBE) for GePbIO2 after structural relaxation.

```
data_GePbIO2
_cell_length_a 4.263
_cell_length_b 4.263
_cell_length_c 5.513
_cell_angle_alpha 90.00
_cell_angle_beta 90.00
_cell_angle_gamma 90.00
_space_group_name_H-M_alt 'P 1'
_space_group_IT_number 1
loop_
_space_group_symop_operation_xyz
'x,y,z'
loop_
_atom_site_label
_atom_site_type_symbol
_atom_site_fract_x
_atom_site_fract_y
_atom_site_fract_z
O1 O 0.000 0.500 0.000
O2 O 0.500 0.000 0.000
Ge1 Ge 0.000 0.000 0.000
Pb1 Pb 0.500 0.500 0.500
I1 I 0.000 0.000 0.500
```

Output
* energy relative to the elements, uncorrected: -1.07 eV per formula unit
* polymorph energy (0 for the lowest one): 0.0000 eV/atom
* space group: P4/mmm, No. 123



Density functional theory data (GGA-PBE) for GePbIO6 after structural relaxation.

```
data_GePbIO6
_cell_length_a 5.269
_cell_length_b 5.269
_cell_length_c 5.505
_cell_angle_alpha 90.00
_cell_angle_beta 90.00
_cell_angle_gamma 60.00
_space_group_name_H-M_alt 'P 1'
_space_group_IT_number 1
loop_
_space_group_symop_operation_xyz
'x,y,z'
loop_
_atom_site_label
_atom_site_type_symbol
_atom_site_fract_x
_atom_site_fract_y
_atom_site_fract_z
O1 O 0.624 0.389 0.702
O2 O 0.624 0.987 0.298
O3 O 0.389 0.624 0.298
O4 O 0.389 0.987 0.702
O5 O 0.987 0.624 0.702
O6 O 0.987 0.389 0.298
Ge1 Ge 0.667 0.667 0.500
Pb1 Pb 0.000 0.000 0.000
I1 I 0.333 0.333 0.500
```

Output
* energy relative to the elements, uncorrected: -7.96 eV per formula unit
* space group: P312, No. 149



Density functional theory data (GGA-PBE) for GePbI2O after structural relaxation.

```
data_GePbI2O
_cell_length_a 6.255
_cell_length_b 6.255
_cell_length_c 4.207
_cell_angle_alpha 90.00
_cell_angle_beta 90.00
_cell_angle_gamma 90.00
_space_group_name_H-M_alt 'P 1'
_space_group_IT_number 1
loop_
_space_group_symop_operation_xyz
'x,y,z'
loop_
_atom_site_label
_atom_site_type_symbol
_atom_site_fract_x
_atom_site_fract_y
_atom_site_fract_z
Pb1 Pb 0.000 0.000 0.000
Ge1 Ge 0.500 0.500 0.500
O1 O 0.000 0.000 0.500
I1 I 0.000 0.500 0.000
I2 I 0.500 0.000 0.000
```

Output
* energy relative to the elements, uncorrected: 0.39 eV per formula unit
* polymorph energy (0 for the lowest one): 0.4404 eV/atom
* space group: P4/mmm, No. 123



Density functional theory data (GGA-PBE) for GePb2I2O2 after structural relaxation.

```
data_GePb2I2O2
_cell_length_a 4.059
_cell_length_b 6.707
_cell_length_c 8.234
_cell_angle_alpha 106.62
_cell_angle_beta 90.00
_cell_angle_gamma 107.61
_space_group_name_H-M_alt 'P 1'
_space_group_IT_number 1
loop_
_space_group_symop_operation_xyz
'x,y,z'
loop_
_atom_site_label
_atom_site_type_symbol
_atom_site_fract_x
_atom_site_fract_y
_atom_site_fract_z
O1 O 0.159 0.318 0.444
O2 O 0.841 0.682 0.556
Ge1 Ge 0.000 0.000 0.500
I1 I 0.597 0.194 0.793
I2 I 0.403 0.806 0.207
Pb1 Pb 0.305 0.610 0.691
Pb2 Pb 0.695 0.390 0.309
```

Output
* energy relative to the elements, uncorrected: -5.79 eV per formula unit
* space group: C2/m, No. 12



Density functional theory data (GGA-PBE) for GePbIO2 after structural relaxation.

```
data_GePbIO2
_cell_length_a 4.281
_cell_length_b 4.281
_cell_length_c 6.758
_cell_angle_alpha 90.00
_cell_angle_beta 90.00
_cell_angle_gamma 90.00
_space_group_name_H-M_alt 'P 1'
_space_group_IT_number 1
loop_
_space_group_symop_operation_xyz
'x,y,z'
loop_
_atom_site_label
_atom_site_type_symbol
_atom_site_fract_x
_atom_site_fract_y
_atom_site_fract_z
Ge1 Ge 0.500 0.500 0.500
Pb1 Pb 0.000 0.000 0.000
I1 I 0.000 0.000 0.500
O1 O 0.000 0.500 0.000
O2 O 0.500 0.000 0.000
```

Output
* energy relative to the elements, uncorrected: 0.29 eV per formula unit
* polymorph energy (0 for the lowest one): 0.2717 eV/atom
* space group: P4/mmm, No. 123